La4ZnHg2 | GGA-PBE | optimized geometry

Results
total magnetization	1.0	μB/f.u.
E above lowest polymorph	0.00	eV per formula unit
DFT formation energy	-0.290	eV per atom

Cell: 5.4323 5.4323 26.1275 Å, 90.00 90.00 120.00°
Last column: nearest neighbours and their distance in Å.
Space group R-3m (No. 166, hexagonal axes)
One atom of each set of equivalent atoms:
1 La 0.0000 0.0000 0.1227 (multiplicity 6)  4 Hg 3.29-3.30, 3 Zn 3.34
2 La 0.0000 0.0000 0.3744 (multiplicity 6)  4 Hg 3.28-3.33, 1 Zn 3.28
3 Zn 0.0000 0.0000 0.5000 (multiplicity 3)  8 La 3.28-3.34
4 Hg 0.0000 0.0000 0.2489 (multiplicity 6)  8 La 3.28-3.33



La2Zn3Hg | GGA-PBE | optimized geometry

Results
total magnetization	0.0	μB/f.u.
DFT formation energy	-0.388	eV per atom

Cell: 7.3285 9.5071 16.5260 Å, 90.00 90.00 90.00°
Last column: nearest neighbours and their distance in Å.
Space group Fmmm (No. 69)
One atom of each set of equivalent atoms:
1 La 0.2425 0.0000 0.0000 (multiplicity 8)  10 Zn 3.26-3.32, 2 Hg 3.29, 1 La 3.55
2 La 0.2500 0.2500 0.2500 (multiplicity 8)  4 Hg 3.30, 8 Zn 3.34, 2 La 3.66
3 Zn 0.0000 0.0000 0.3391 (multiplicity 8)  2 Zn 2.65, 1 Hg 2.83
4 Zn 0.0000 0.2411 0.4192 (multiplicity 16)  2 Zn 2.65-2.67, 1 Hg 2.85
5 Hg 0.0000 0.0000 0.1676 (multiplicity 8)  3 Zn 2.83-2.85



La4ZnHg | GGA-PBE | optimized geometry

Results
total magnetization	0.0	μB/f.u.
E above lowest polymorph	3.22	eV per formula unit
DFT formation energy	0.276	eV per atom

Cell: 9.1493 9.1493 9.1493 Å, 90.00 90.00 90.00°
Last column: nearest neighbours and their distance in Å.
Space group F-43m (No. 216)
One atom of each set of equivalent atoms:
1 La 0.1250 0.1250 0.1250 (multiplicity 16)  6 La 3.23
2 Zn 0.2500 0.2500 0.7500 (multiplicity 4)  12 La 3.79, 4 Hg 3.96
3 Hg 0.0000 0.0000 0.5000 (multiplicity 4)  12 La 3.79, 4 Zn 3.96



LaZnHg | GGA-PBE | optimized geometry

Results
total magnetization	0.0	μB/f.u.
DFT formation energy	-0.429	eV per atom

Cell: 4.8472 4.8472 3.6852 Å, 90.00 90.00 120.00°
Last column: nearest neighbours and their distance in Å.
Space group P-6m2 (No. 187)
One atom of each set of equivalent atoms:
1 La 0.0000 0.0000 0.0000 (multiplicity 1)  6 Hg 3.35, 6 Zn 3.35, 2 La 3.69
2 Zn 0.6667 0.3333 0.5000 (multiplicity 1)  3 Hg 2.80
3 Hg 0.3333 0.6667 0.5000 (multiplicity 1)  3 Zn 2.80



LaZnHg | GGA-PBE | optimized geometry

Results
total magnetization	0.0	μB/f.u.
DFT formation energy	-0.432	eV per atom

Cell: 11.1003 4.8212 7.5475 Å, 90.00 131.93 90.00°
Last column: nearest neighbours and their distance in Å.
Space group C2/m (No. 12)
One atom of each set of equivalent atoms:
1 La 0.0220 0.0000 0.2788 (multiplicity 4)  6 Zn 3.27-3.46, 6 Hg 3.29-3.49
2 Zn 0.1544 0.5000 0.1139 (multiplicity 4)  1 Zn 2.61, 2 Hg 2.78
3 Hg 0.1783 0.5000 0.7187 (multiplicity 4)  2 Zn 2.78, 1 Hg 3.02



La3Zn3Hg2 | GGA-PBE | optimized geometry

Results
total magnetization	0.0	μB/f.u.
DFT formation energy	-0.379	eV per atom

Cell: 4.7728 11.1032 15.5743 Å, 90.00 90.00 90.00°
Last column: nearest neighbours and their distance in Å.
Space group Cmcm (No. 63)
One atom of each set of equivalent atoms:
1 La 0.0000 0.1043 0.1058 (multiplicity 8)  4 Hg 3.26-3.36, 7 Zn 3.27-3.48
2 La 0.0000 0.3797 0.2500 (multiplicity 4)  5 Zn 3.14-3.39, 4 Hg 3.44
3 Zn 0.0000 0.3371 0.7500 (multiplicity 4)  2 Hg 2.81, 1 La 3.14
4 Zn 0.0000 0.3972 0.0380 (multiplicity 8)  1 Zn 2.57, 2 Hg 2.77
5 Hg 0.0000 0.1957 0.6000 (multiplicity 8)  4 Zn 2.77-3.10



LaZn2Hg2 | GGA-PBE | optimized geometry

Results
total magnetization	0.0	μB/f.u.
E above lowest polymorph	0.16	eV per formula unit
DFT formation energy	-0.278	eV per atom

Cell: 4.4841 4.4841 11.5879 Å, 90.00 90.00 90.00°
Last column: nearest neighbours and their distance in Å.
Space group I4/mmm (No. 139)
One atom of each set of equivalent atoms:
1 La 0.0000 0.0000 0.0000 (multiplicity 2)  8 Hg 3.47, 8 Zn 3.66
2 Zn 0.0000 0.5000 0.2500 (multiplicity 4)  4 Hg 2.69
3 Hg 0.0000 0.0000 0.3784 (multiplicity 4)  4 Zn 2.69, 1 Hg 2.82



La4Zn2Hg | GGA-PBE | optimized geometry

Results
total magnetization	0.0	μB/f.u.
DFT formation energy	-0.237	eV per atom

Cell: 5.3351 5.3351 25.6389 Å, 90.00 90.00 120.00°
Last column: nearest neighbours and their distance in Å.
Space group R-3m (No. 166, hexagonal axes)
One atom of each set of equivalent atoms:
1 La 0.0000 0.0000 0.1173 (multiplicity 6)  4 Zn 3.18-3.34, 3 Hg 3.33
2 La 0.0000 0.0000 0.3692 (multiplicity 6)  4 Zn 3.12-3.34, 1 Hg 3.35
3 Zn 0.0000 0.0000 0.2476 (multiplicity 6)  8 La 3.12-3.34
4 Hg 0.0000 0.0000 0.5000 (multiplicity 3)  8 La 3.33-3.35, 6 Zn 3.71



Across the entries above, DOS at the Fermi energy takes the values 1.392, 0.986, 1.459, 1.006, 0.959, 1.068, 0.595, 1.556 states/eV per atom, respectively.